1.
Na2Sr9Ca | PBE | relaxed

Cell lengths 5.826, 5.826, 18.041 Å; angles 90.00, 90.00, 90.00 degrees
Space group P4/mmm (No. 123)
Symmetry-distinct sites (fractional):
Na 0.000 0.000 0.166 (multiplicity 2)
Sr 0.000 0.500 0.000 (multiplicity 2)
Sr 0.000 0.500 0.334 (multiplicity 4)
Sr 0.500 0.500 0.166 (multiplicity 2)
Sr 0.500 0.500 0.500 (multiplicity 1)
Ca 0.000 0.000 0.500 (multiplicity 1)

Formation energy from the elements ... 0.03 eV per atom
Total moment ... 0.00 μB per cell
V ... 51.03 A^3/atom
Density of states at the Fermi level ... 1.086 states/eV/atom

---

2.
Ce3BeS6 | PBE | relaxed

Cell lengths 10.852, 13.393, 6.431 Å; angles 90.00, 90.00, 90.00 degrees
Space group Cmc2_1 (No. 36)
Symmetry-distinct sites (fractional):
Ce 0.000 0.110 0.000 (multiplicity 4)
Ce 0.180 0.396 0.076 (multiplicity 8)
Be 0.000 0.304 0.628 (multiplicity 4)
S 0.000 0.283 0.292 (multiplicity 4)
S 0.000 0.454 0.749 (multiplicity 4)
S 0.157 0.239 0.775 (multiplicity 8)
S 0.161 0.023 0.289 (multiplicity 8)

Total moment ... 8.09 μB per cell
V ... 23.37 A^3/atom
Density of states at the Fermi level ... 1.642 states/eV/atom
Uncorrected formation energy ... -1.7418 eV per atom

---

3.
NdHo5In4 | PBE | relaxed

Cell lengths 3.548, 3.548, 21.922 Å; angles 90.00, 90.00, 90.00 degrees
Space group P4/mmm (No. 123)
Symmetry-distinct sites (fractional):
Nd 0.000 0.000 0.000 (multiplicity 1)
Ho 0.500 0.500 0.119 (multiplicity 2)
Ho 0.500 0.500 0.309 (multiplicity 2)
Ho 0.500 0.500 0.500 (multiplicity 1)
In 0.000 0.000 0.213 (multiplicity 2)
In 0.000 0.000 0.405 (multiplicity 2)

Formation energy from the elements ... -0.37 eV per atom
Total moment ... 0.00 μB per cell
V ... 27.59 A^3/atom
Density of states at the Fermi level ... 0.618 states/eV/atom

---

4.
TaAs | PBE | relaxed

Cell lengths 3.352, 9.587, 4.485 Å; angles 90.00, 90.00, 90.00 degrees
Space group Cmcm (No. 63)
Symmetry-distinct sites (fractional):
Ta 0.000 0.091 0.250 (multiplicity 4)
As 0.000 0.377 0.250 (multiplicity 4)

Formation energy from the elements ... -0.30 eV per atom
Total moment ... 0.00 μB per cell
V ... 18.01 A^3/atom
Density of states at the Fermi level ... 0.454 states/eV/atom

---

5.
Tb6HgPb5 | PBE | relaxed

Cell lengths 5.075, 15.238, 8.690 Å; angles 90.00, 90.00, 90.00 degrees
Space group Cmmm (No. 65)
Symmetry-distinct sites (fractional):
Tb 0.000 0.000 0.244 (multiplicity 4)
Tb 0.000 0.334 0.244 (multiplicity 8)
Hg 0.000 0.500 0.000 (multiplicity 2)
Pb 0.000 0.163 0.000 (multiplicity 4)
Pb 0.000 0.167 0.500 (multiplicity 4)
Pb 0.000 0.500 0.500 (multiplicity 2)

Formation energy from the elements ... -0.45 eV per atom
Total moment ... 0.00 μB per cell
V ... 28.00 A^3/atom
Density of states at the Fermi level ... 0.756 states/eV/atom